Record 1
{
  "formula": "LiSeCl2",
  "functional": "PBEsol",
  "state": "relaxed",
  "lattice_angstrom": [[3.2679, 0.0000, 0.0000], [0.0000, 3.2679, 0.0000], [0.0000, 0.0000, 7.4028]],
  "species": ["Se", "Cl", "Cl", "Li"],
  "frac_coords": [[0.5000, 0.5000, 0.7442], [0.0000, 0.0000, 0.0183], [0.5000, 0.5000, 0.4228], [0.0000, 0.0000, 0.3147]],
  "e_form_raw_mev_per_atom": -576,
  "sg": "P4mm (99)",
  "vol_a3_per_atom": 19.76,
  "magnetic_moment_mub_per_cell": 0.000,
  "e_above_lowest_polymorph_mev_per_atom": 0
}

***

Record 2
{
  "formula": "AlAsCl",
  "functional": "PBEsol",
  "state": "relaxed",
  "lattice_angstrom": [[-0.3183, 1.0214, -3.0538], [2.9783, -1.0732, -0.6694], [-4.0139, -6.2812, 0.0319]],
  "species": ["As", "Cl", "Al"],
  "frac_coords": [[0.5546, 0.5546, 0.1092], [0.2961, 0.2961, 0.5921], [0.1493, 0.1493, 0.2986]],
  "e_form_raw_mev_per_atom": -411,
  "sg": "I4mm (107)",
  "vol_a3_per_atom": 24.76,
  "magnetic_moment_mub_per_cell": 0.000
}

***

Record 3
{
  "formula": "CuTcP",
  "functional": "PBEsol",
  "state": "relaxed",
  "lattice_angstrom": [[2.9582, 0.0000, 0.0000], [0.0000, 2.9582, 0.0000], [-1.4791, -1.4791, 4.2953]],
  "species": ["Tc", "P", "Cu"],
  "frac_coords": [[0.3150, 0.3150, 0.6301], [0.6747, 0.6747, 0.3493], [0.0103, 0.0103, 0.0206]],
  "sg": "I4mm (107)",
  "vol_a3_per_atom": 12.53,
  "formation_enthalpy_0k_ev_per_atom": -0.099,
  "magnetic_moment_mub_per_cell": 0.391,
  "e_above_lowest_polymorph_mev_per_atom": 0
}

***

Record 4
{
  "formula": "Rb12Sn2As6O",
  "functional": "PBEsol",
  "state": "relaxed",
  "lattice_angstrom": [[-3.7596, 1.5545, 4.4124], [-5.7991, -10.0579, -1.3978], [8.9898, 0.5784, 7.4560]],
  "species": ["As", "As", "As", "As", "As", "As", "Rb", "Rb", "Rb", "Rb", "Rb", "Rb", "Rb", "Rb", "Rb", "Rb", "Rb", "Rb", "O", "Sn", "Sn"],
  "frac_coords": [[0.7565, 0.5839, 0.7919], [0.2435, 0.4161, 0.2081], [0.7565, 0.2081, 0.7919], [0.2435, 0.7919, 0.5839], [0.2435, 0.7919, 0.2081], [0.7565, 0.2081, 0.4161], [0.2488, 0.4565, 0.9129], [0.7512, 0.5435, 0.0871], [0.2488, 0.0871, 0.5435], [0.7283, 0.2317, 0.1158], [0.7283, 0.8842, 0.1158], [0.2717, 0.1158, 0.8842], [0.7512, 0.5435, 0.4565], [0.7283, 0.8842, 0.7683], [0.2488, 0.4565, 0.5435], [0.7512, 0.9129, 0.4565], [0.2717, 0.7683, 0.8842], [0.2717, 0.1158, 0.2317], [0.5000, 0.0000, 0.0000], [0.2482, 0.6667, 0.3333], [0.7518, 0.3333, 0.6667]],
  "e_form_raw_mev_per_atom": -486,
  "sg": "P-3m1 (164)",
  "vol_a3_per_atom": 33.84,
  "magnetic_moment_mub_per_cell": 0.000
}